No. 1
{"formula": "Pm8Te4P3S", "functional": "PBE-GGA", "state": "relaxed", "volume_a3_per_cell": 446.2, "rho_g_cm3": 6.7, "n_ef_per_ev_cell": 7.15, "e_tot_ha_per_atom": -0.2227, "lattice": [[4.210, 2.431, 7.267], [-4.210, 2.431, 7.267], [0.000, -4.862, 7.267]], "species": ["Pm", "Pm", "Pm", "Pm", "Pm", "Pm", "Pm", "Pm", "Te", "Te", "Te", "Te", "P", "P", "P", "S"], "fractional_positions": [[0.234, 0.739, 0.739], [0.237, 0.237, 0.237], [0.261, 0.261, 0.766], [0.261, 0.766, 0.261], [0.739, 0.234, 0.739], [0.739, 0.739, 0.234], [0.763, 0.763, 0.763], [0.766, 0.261, 0.261], [0.000, 0.000, 0.000], [0.000, 0.500, 0.500], [0.500, 0.000, 0.500], [0.500, 0.500, 0.000], [0.000, 0.000, 0.500], [0.000, 0.500, 0.000], [0.500, 0.000, 0.000], [0.500, 0.500, 0.500]]}

No. 2
{"formula": "LiGd5", "functional": "PBE-GGA", "state": "relaxed", "volume_a3_per_cell": 182.6, "e_form_ev_per_atom": 0.062, "rho_g_cm3": 7.2, "n_ef_per_ev_cell": 9.62, "e_tot_ha_per_atom": -0.4407, "lattice": [[2.808, -8.693, 0.000], [2.808, 8.693, 0.000], [0.000, 0.000, 3.740]], "species": ["Li", "Gd", "Gd", "Gd", "Gd", "Gd"], "fractional_positions": [[0.000, 0.000, 0.000], [0.143, 0.857, 0.500], [0.317, 0.683, 0.000], [0.500, 0.500, 0.500], [0.683, 0.317, 0.000], [0.857, 0.143, 0.500]]}

No. 3
{"formula": "YHoIn2", "functional": "PBE-GGA", "state": "relaxed", "volume_a3_per_cell": 106.1, "e_form_ev_per_atom": -0.476, "rho_g_cm3": 7.6, "n_ef_per_ev_cell": 2.46, "e_tot_ha_per_atom": -0.1693, "lattice": [[3.757, 0.000, 0.000], [0.000, 3.757, 0.000], [0.000, 0.000, 7.516]], "species": ["Y", "Ho", "In", "In"], "fractional_positions": [[0.000, 0.000, 0.000], [0.000, 0.000, 0.500], [0.500, 0.500, 0.252], [0.500, 0.500, 0.748]]}

No. 4
{"formula": "Ta3NbI", "functional": "PBE-GGA", "state": "relaxed", "volume_a3_per_cell": 123.6, "polymorph_energy_ev_per_atom": 0.000, "rho_g_cm3": 10.2, "n_ef_per_ev_cell": 3.08, "e_tot_ha_per_atom": -0.2833, "lattice": [[4.981, 0.000, 0.000], [0.000, 4.981, 0.000], [0.000, 0.000, 4.981]], "species": ["Ta", "Ta", "Ta", "Nb", "I"], "fractional_positions": [[0.000, 0.000, 0.500], [0.000, 0.500, 0.000], [0.500, 0.000, 0.000], [0.000, 0.000, 0.000], [0.500, 0.500, 0.500]]}

No. 5
{"formula": "VSiCl3", "functional": "PBE-GGA", "state": "relaxed", "volume_a3_per_cell": 123.9, "polymorph_energy_ev_per_atom": 0.314, "rho_g_cm3": 2.5, "n_ef_per_ev_cell": 10.32, "e_tot_ha_per_atom": -0.1428, "lattice": [[4.985, 0.000, 0.000], [0.000, 4.985, 0.000], [0.000, 0.000, 4.985]], "species": ["V", "Si", "Cl", "Cl", "Cl"], "fractional_positions": [[0.000, 0.000, 0.000], [0.500, 0.500, 0.500], [0.000, 0.500, 0.500], [0.500, 0.000, 0.500], [0.500, 0.500, 0.000]]}

No. 6
{"formula": "ScP", "functional": "PBE-GGA", "state": "relaxed", "volume_a3_per_cell": 73.2, "e_form_ev_per_atom": -1.249, "rho_g_cm3": 3.4, "n_ef_per_ev_cell": 0.51, "e_tot_ha_per_atom": -0.2616, "lattice": [[1.793, -5.242, 0.000], [1.793, 5.242, 0.000], [0.000, 0.000, 3.895]], "species": ["Sc", "Sc", "P", "P"], "fractional_positions": [[0.128, 0.872, 0.750], [0.872, 0.128, 0.250], [0.380, 0.620, 0.750], [0.620, 0.380, 0.250]]}

No. 7
{"formula": "CdHPt", "functional": "PBE-GGA", "state": "relaxed", "volume_a3_per_cell": 40.1, "polymorph_energy_ev_per_atom": 0.044, "rho_g_cm3": 12.8, "n_ef_per_ev_cell": 0.72, "e_tot_ha_per_atom": -0.1300, "lattice": [[3.186, 0.000, 0.000], [-1.593, 2.759, 0.000], [0.000, 0.000, 4.561]], "species": ["Cd", "H", "Pt"], "fractional_positions": [[0.000, 0.000, 0.000], [0.333, 0.667, 0.500], [0.667, 0.333, 0.500]]}

No. 8
{"formula": "TiCS2", "functional": "PBE-GGA", "state": "relaxed", "volume_a3_per_cell": 59.0, "rho_g_cm3": 3.5, "n_ef_per_ev_cell": 1.92, "e_tot_ha_per_atom": -0.2272, "lattice": [[1.630, 0.941, 6.406], [-1.630, 0.941, 6.406], [0.000, -1.882, 6.406]], "species": ["Ti", "C", "S", "S"], "fractional_positions": [[0.000, 0.000, 0.000], [0.500, 0.500, 0.500], [0.416, 0.416, 0.416], [0.584, 0.584, 0.584]]}

No. 9
{"formula": "InCuSi", "functional": "PBE-GGA", "state": "relaxed", "volume_a3_per_cell": 54.6, "rho_g_cm3": 6.3, "n_ef_per_ev_cell": 1.42, "e_tot_ha_per_atom": -0.1402, "lattice": [[-1.393, 1.831, 5.347], [1.393, -1.831, 5.347], [1.393, 1.831, -5.347]], "species": ["In", "Cu", "Si"], "fractional_positions": [[0.000, 0.000, 0.000], [0.302, 0.302, 0.000], [0.710, 0.710, 0.000]]}

No. 10
{"formula": "Ca3GePd", "functional": "PBE-GGA", "state": "relaxed", "volume_a3_per_cell": 159.4, "polymorph_energy_ev_per_atom": 0.000, "e_form_ev_per_atom": -0.225, "rho_g_cm3": 3.1, "n_ef_per_ev_cell": 4.45, "e_tot_ha_per_atom": -0.1245, "lattice": [[5.422, 0.000, 0.000], [0.000, 5.422, 0.000], [0.000, 0.000, 5.422]], "species": ["Ca", "Ca", "Ca", "Ge", "Pd"], "fractional_positions": [[0.000, 0.000, 0.500], [0.000, 0.500, 0.000], [0.500, 0.000, 0.000], [0.500, 0.500, 0.500], [0.000, 0.000, 0.000]]}

No. 11
{"formula": "IrOs3Rh", "functional": "PBE-GGA", "state": "relaxed", "volume_a3_per_cell": 101.1, "polymorph_energy_ev_per_atom": 2.462, "e_form_ev_per_atom": 2.533, "rho_g_cm3": 14.2, "n_ef_per_ev_cell": 10.08, "e_tot_ha_per_atom": -0.2737, "lattice": [[4.659, 0.000, 0.000], [0.000, 4.659, 0.000], [0.000, 0.000, 4.659]], "species": ["Ir", "Os", "Os", "Os", "Rh"], "fractional_positions": [[0.000, 0.000, 0.000], [0.000, 0.000, 0.500], [0.000, 0.500, 0.000], [0.500, 0.000, 0.000], [0.500, 0.500, 0.500]]}

No. 12
{"formula": "LiZrTc2", "functional": "PBE-GGA", "state": "relaxed", "volume_a3_per_cell": 63.2, "polymorph_energy_ev_per_atom": 0.246, "e_form_ev_per_atom": 0.303, "rho_g_cm3": 7.7, "n_ef_per_ev_cell": 5.81, "e_tot_ha_per_atom": -0.2755, "lattice": [[0.000, 3.161, 3.161], [3.161, 0.000, 3.161], [3.161, 3.161, 0.000]], "species": ["Li", "Zr", "Tc", "Tc"], "fractional_positions": [[0.000, 0.000, 0.000], [0.500, 0.500, 0.500], [0.250, 0.250, 0.250], [0.750, 0.750, 0.750]]}